VASP calculation (PBE-GGA) on Y5Tm12Th2 after structural relaxation.

ρ (g cm⁻³): 8.13
Energy relative to the elements (meV per atom): 124
E (eV/atom): -5.183
Symmetry: P-1

Cell lengths 6.0390, 9.5364, 11.9527 Å; angles 118.48, 96.45, 90.94 degrees
Fractional positions:
Y 0.4960 0.6158 0.6683
Y 0.1084 0.7013 0.1578
Y 0.0000 0.0000 0.5000
Y 0.8916 0.2987 0.8422
Y 0.5040 0.3842 0.3317
Tm 0.8233 0.0443 0.2249
Tm 0.0393 0.6573 0.8440
Tm 0.5715 0.6722 0.9845
Tm 0.0722 0.6445 0.4582
Tm 0.6225 0.6974 0.2848
Tm 0.5764 0.9158 0.6006
Tm 0.4236 0.0842 0.3994
Tm 0.9278 0.3555 0.5418
Tm 0.3775 0.3026 0.7152
Tm 0.9607 0.3427 0.1560
Tm 0.4285 0.3278 0.0155
Tm 0.1767 0.9557 0.7751
Th 0.7244 0.9868 0.9193
Th 0.2756 0.0132 0.0807